A relaxed structure of BaMoNO2. Source: the Alexandria database, functional GGA+U.

Summary:
uncorrected energy = -6.9814 eV per atom

a = 4.1970 Å, b = 4.1970 Å, c = 3.9985 Å
α = 90.00°, β = 90.00°, γ = 90.00°
Closest atoms and distances in Å follow each position.
Fractional positions:
1 Ba 0.0000 0.0000 0.0000  8 O 2.90, 4 N 2.97
2 Mo 0.5000 0.5000 0.5000  2 N 2.00, 4 O 2.10
3 N 0.5000 0.5000 0.0000  2 Mo 2.00
4 O 0.0000 0.5000 0.5000  2 Mo 2.10
5 O 0.5000 0.0000 0.5000  2 Mo 2.10